Entry 1:
Here is a relaxed AcNdSnTe crystal from the Alexandria database. Energies are from PBE.

Cell lengths 8.1110, 8.1110, 8.1110 Å; angles 33.45, 33.45, 33.45 degrees
With the nearest neighbours (Å) after each atom.
Sites, in units of the cell vectors:
Ac  0.0000  0.0000  0.0000  3 Sn 3.32, 3 Te 3.42
Nd  0.5074  0.5074  0.5074  3 Sn 3.19, 3 Te 3.29
Sn  0.2486  0.2486  0.2486  3 Nd 3.19, 3 Ac 3.32
Te  0.7584  0.7584  0.7584  3 Nd 3.29, 3 Ac 3.42

Summary:
Total magnetization in μB per atom: 0.00
Raw formation energy in eV per atom: -1.12
Space group: R3m


Entry 2:
Here is a relaxed AcNdSnTe crystal from the Alexandria database. Energies are from PBE.

Cell lengths 5.6742, 5.6742, 5.6742 Å; angles 60.00, 60.00, 60.00 degrees
With the nearest neighbours (Å) after each atom.
Sites, in units of the cell vectors:
Ac  0.0000  0.0000  0.0000  4 Sn 3.47, 4 Te 3.47
Nd  0.5000  0.5000  0.5000  4 Sn 3.47, 4 Te 3.47
Sn  0.2500  0.2500  0.2500  4 Ac 3.47, 4 Nd 3.47
Te  0.7500  0.7500  0.7500  4 Ac 3.47, 4 Nd 3.47

Summary:
Total magnetization in μB per atom: 0.00
Raw formation energy in eV per atom: -0.89
Space group: F-43m